1.
Below is a relaxed AlCuMo2 crystal, with properties calculated at the PBE-GGA level.

Calculated values
Energy of formation: 0.062 eV per atom
Energy: -7.313 eV per atom
M_tot: 0.0 μB/cell

```
data_AlCuMo2
_chemical_formula_sum 'Al1 Cu1 Mo2'
_symmetry_space_group_name_H-M 'P 4 m m'
_symmetry_Int_Tables_number 99
_cell_length_a 2.684
_cell_length_b 2.684
_cell_length_c 8.169
_cell_angle_alpha 90.00
_cell_angle_beta 90.00
_cell_angle_gamma 90.00
loop_
_symmetry_equiv_pos_as_xyz
'x,y,z'
'-y,x,z'
'-x,-y,z'
'y,-x,z'
'-x,y,z'
'y,x,z'
'x,-y,z'
'-y,-x,z'
loop_
_atom_site_label
_atom_site_type_symbol
_atom_site_fract_x
_atom_site_fract_y
_atom_site_fract_z
Al1 Al 0.000 0.000 0.000
Cu1 Cu 0.500 0.500 0.219
Mo1 Mo 0.000 0.000 0.463
Mo2 Mo 0.500 0.500 0.746
```

---

2.
Below is a relaxed Al2CuMo crystal, with properties calculated at the PBE-GGA level.

Calculated values
Energy of formation: -0.113 eV per atom
Energy: -5.716 eV per atom
M_tot: 0.0 μB/cell

```
data_Al2CuMo
_chemical_formula_sum 'Al2 Cu1 Mo1'
_symmetry_space_group_name_H-M 'P 4/m m m'
_symmetry_Int_Tables_number 123
_symmetry_space_group_name_Hall '-P 4 2'
_cell_length_a 2.754
_cell_length_b 2.754
_cell_length_c 7.622
_cell_angle_alpha 90.00
_cell_angle_beta 90.00
_cell_angle_gamma 90.00
loop_
_atom_site_label
_atom_site_type_symbol
_atom_site_fract_x
_atom_site_fract_y
_atom_site_fract_z
Al1 Al 0.000 0.000 0.234
Cu1 Cu 0.500 0.500 0.000
Mo1 Mo 0.500 0.500 0.500
```

---

3.
Below is a relaxed Al2CuMo crystal, with properties calculated at the PBE-GGA level.

Calculated values
Energy of formation: -0.053 eV per atom
Energy: -5.656 eV per atom
M_tot: 0.0 μB/cell

```
data_Al2CuMo
_chemical_formula_sum 'Al2 Cu1 Mo1'
_symmetry_space_group_name_H-M 'P m m 2'
_symmetry_Int_Tables_number 25
_cell_length_a 2.816
_cell_length_b 3.800
_cell_length_c 5.444
_cell_angle_alpha 90.00
_cell_angle_beta 90.00
_cell_angle_gamma 90.00
loop_
_symmetry_equiv_pos_as_xyz
'x,y,z'
'-x,-y,z'
'-x,y,z'
'x,-y,z'
loop_
_atom_site_label
_atom_site_type_symbol
_atom_site_fract_x
_atom_site_fract_y
_atom_site_fract_z
Al1 Al 0.000 0.000 0.000
Al2 Al 0.500 0.500 0.277
Cu1 Cu 0.000 0.000 0.488
Mo1 Mo 0.500 0.500 0.770
```

---

4.
Below is a relaxed AlCuMo2 crystal, with properties calculated at the PBE-GGA level.

Calculated values
Energy of formation: 0.063 eV per atom
Energy: -7.313 eV per atom
M_tot: 0.0 μB/cell

```
data_AlCuMo2
_chemical_formula_sum 'Al4 Cu4 Mo8'
_symmetry_space_group_name_H-M 'F -4 3 m'
_symmetry_Int_Tables_number 216
_symmetry_space_group_name_Hall 'F -4 2 3'
_cell_length_a 6.185
_cell_length_b 6.185
_cell_length_c 6.185
_cell_angle_alpha 90.00
_cell_angle_beta 90.00
_cell_angle_gamma 90.00
loop_
_atom_site_label
_atom_site_type_symbol
_atom_site_fract_x
_atom_site_fract_y
_atom_site_fract_z
Al1 Al 0.000 0.000 0.000
Cu1 Cu 0.250 0.250 0.750
Mo1 Mo 0.000 0.000 0.500
Mo2 Mo 0.250 0.250 0.250
```

---

5.
Below is a relaxed Al2CuMo crystal, with properties calculated at the PBE-GGA level.

Calculated values
Energy of formation: 0.216 eV per atom
Energy: -5.387 eV per atom
M_tot: 0.0 μB/cell

```
data_Al2CuMo
_chemical_formula_sum 'Al8 Cu4 Mo4'
_symmetry_space_group_name_H-M 'I -4 2 d'
_symmetry_Int_Tables_number 122
_symmetry_space_group_name_Hall 'I -4 2bw'
_cell_length_a 6.759
_cell_length_b 6.759
_cell_length_c 5.406
_cell_angle_alpha 90.00
_cell_angle_beta 90.00
_cell_angle_gamma 90.00
loop_
_atom_site_label
_atom_site_type_symbol
_atom_site_fract_x
_atom_site_fract_y
_atom_site_fract_z
Al1 Al 0.219 0.750 0.125
Cu1 Cu 0.000 0.000 0.000
Mo1 Mo 0.000 0.000 0.500
```

---

6.
Below is a relaxed Al2CuMo crystal, with properties calculated at the PBE-GGA level.

Calculated values
Energy of formation: -0.234 eV per atom
Energy: -5.837 eV per atom
M_tot: 0.5 μB/cell

```
data_Al2CuMo
_chemical_formula_sum 'Al2 Cu1 Mo1'
_symmetry_space_group_name_H-M 'P 4/m m m'
_symmetry_Int_Tables_number 123
_symmetry_space_group_name_Hall '-P 4 2'
_cell_length_a 4.016
_cell_length_b 4.016
_cell_length_c 3.531
_cell_angle_alpha 90.00
_cell_angle_beta 90.00
_cell_angle_gamma 90.00
loop_
_atom_site_label
_atom_site_type_symbol
_atom_site_fract_x
_atom_site_fract_y
_atom_site_fract_z
Al1 Al 0.000 0.500 0.000
Cu1 Cu 0.000 0.000 0.500
Mo1 Mo 0.500 0.500 0.500
```